{"formula": "Li4GaSn", "functional": "PBE", "state": "optimized geometry", "lattice_angstrom": [[2.273, -6.731, 0.000], [2.273, 6.731, 0.000], [0.000, 0.000, 6.952]], "species": ["Li", "Li", "Li", "Li", "Li", "Li", "Li", "Li", "Ga", "Ga", "Sn", "Sn"], "fractional_positions": [[0.016, 0.984, 0.500], [0.195, 0.805, 0.247], [0.330, 0.670, 0.548], [0.478, 0.522, 0.266], [0.522, 0.478, 0.766], [0.670, 0.330, 0.048], [0.805, 0.195, 0.747], [0.984, 0.016, 0.000], [0.352, 0.648, 0.968], [0.648, 0.352, 0.468], [0.161, 0.839, 0.790], [0.839, 0.161, 0.290]], "crystal_system": "orthorhombic", "relative_energy_mev_per_atom": 59.6, "formation_energy_ev_per_atom": -0.27}

=====

{"formula": "LaTa2Zn", "functional": "PBE", "state": "optimized geometry", "lattice_angstrom": [[1.544, 0.891, 10.203], [-1.544, 0.891, 10.203], [0.000, -1.782, 10.203]], "species": ["La", "Ta", "Ta", "Zn"], "fractional_positions": [[0.000, 0.000, 0.000], [0.504, 0.504, 0.504], [0.760, 0.760, 0.760], [0.242, 0.242, 0.242]], "crystal_system": "trigonal", "formation_energy_ev_per_atom": 0.39}

=====

{"formula": "Tm4MgC2", "functional": "PBE", "state": "optimized geometry", "lattice_angstrom": [[1.827, -6.167, 0.000], [1.827, 6.167, 0.000], [0.000, 0.000, 13.092]], "species": ["Tm", "Tm", "Tm", "Tm", "Tm", "Tm", "Tm", "Tm", "Mg", "Mg", "C", "C", "C", "C"], "fractional_positions": [[0.000, 0.000, 0.000], [0.000, 0.000, 0.500], [0.256, 0.744, 0.598], [0.256, 0.744, 0.902], [0.410, 0.590, 0.250], [0.590, 0.410, 0.750], [0.744, 0.256, 0.098], [0.744, 0.256, 0.402], [0.115, 0.885, 0.250], [0.885, 0.115, 0.750], [0.364, 0.636, 0.060], [0.364, 0.636, 0.440], [0.636, 0.364, 0.560], [0.636, 0.364, 0.940]], "crystal_system": "orthorhombic", "formation_energy_ev_per_atom": -0.12}

=====

{"formula": "NdAlCu11", "functional": "PBE", "state": "optimized geometry", "lattice_angstrom": [[2.434, -5.986, 0.000], [2.434, 5.986, 0.000], [-2.386, 0.000, 6.184]], "species": ["Nd", "Al", "Cu", "Cu", "Cu", "Cu", "Cu", "Cu", "Cu", "Cu", "Cu", "Cu", "Cu"], "fractional_positions": [[0.000, 0.000, 0.000], [0.500, 0.500, 0.500], [0.000, 0.000, 0.500], [0.000, 0.500, 0.000], [0.008, 0.650, 0.646], [0.276, 0.503, 0.774], [0.350, 0.992, 0.354], [0.497, 0.724, 0.226], [0.500, 0.000, 0.000], [0.503, 0.276, 0.774], [0.650, 0.008, 0.646], [0.724, 0.497, 0.226], [0.992, 0.350, 0.354]], "crystal_system": "monoclinic", "formation_energy_ev_per_atom": -0.12}

=====

{"formula": "NdPaTl2Se4", "functional": "PBE", "state": "optimized geometry", "lattice_angstrom": [[7.339, 0.000, 0.000], [0.000, 4.210, 0.000], [-2.397, 0.000, 7.898]], "species": ["Nd", "Pa", "Tl", "Tl", "Se", "Se", "Se", "Se"], "fractional_positions": [[0.000, 0.000, 0.000], [0.500, 0.500, 0.000], [0.000, 0.500, 0.500], [0.500, 0.000, 0.500], [0.247, 0.500, 0.211], [0.273, 0.000, 0.791], [0.727, 0.000, 0.209], [0.753, 0.500, 0.789]], "crystal_system": "monoclinic", "formation_energy_uncorrected_ev_per_atom": -1.152}

=====

{"formula": "TbDy2Ho5Th", "functional": "PBE", "state": "optimized geometry", "lattice_angstrom": [[2.838, -10.712, 0.000], [2.838, 10.712, 0.000], [0.000, 0.000, 9.672]], "species": ["Tb", "Tb", "Dy", "Dy", "Dy", "Dy", "Ho", "Ho", "Ho", "Ho", "Ho", "Ho", "Ho", "Ho", "Ho", "Ho", "Th", "Th"], "fractional_positions": [[0.190, 0.810, 0.500], [0.810, 0.190, 0.000], [0.115, 0.885, 0.188], [0.130, 0.870, 0.806], [0.870, 0.130, 0.306], [0.885, 0.115, 0.688], [0.014, 0.986, 0.499], [0.271, 0.729, 0.193], [0.305, 0.695, 0.801], [0.398, 0.602, 0.476], [0.469, 0.531, 0.776], [0.531, 0.469, 0.276], [0.602, 0.398, 0.976], [0.695, 0.305, 0.301], [0.729, 0.271, 0.693], [0.986, 0.014, 0.999], [0.406, 0.594, 0.095], [0.594, 0.406, 0.595]], "crystal_system": "orthorhombic", "formation_energy_ev_per_atom": 0.16}

=====

{"formula": "CdAg6Pd2", "functional": "PBE", "state": "optimized geometry", "lattice_angstrom": [[5.303, -4.928, 0.000], [5.303, 4.928, 0.000], [-4.498, 0.000, 6.105]], "species": ["Cd", "Cd", "Ag", "Ag", "Ag", "Ag", "Ag", "Ag", "Ag", "Ag", "Ag", "Ag", "Ag", "Ag", "Pd", "Pd", "Pd", "Pd"], "fractional_positions": [[0.147, 0.853, 0.750], [0.853, 0.147, 0.250], [0.000, 0.223, 0.697], [0.000, 0.777, 0.303], [0.094, 0.362, 0.143], [0.223, 0.000, 0.197], [0.324, 0.572, 0.027], [0.362, 0.094, 0.643], [0.428, 0.676, 0.473], [0.572, 0.324, 0.527], [0.638, 0.906, 0.357], [0.676, 0.428, 0.973], [0.777, 0.000, 0.803], [0.906, 0.638, 0.857], [0.210, 0.443, 0.579], [0.443, 0.210, 0.079], [0.557, 0.790, 0.921], [0.790, 0.557, 0.421]], "crystal_system": "monoclinic", "relative_energy_mev_per_atom": 0.0, "formation_energy_ev_per_atom": -0.03}

=====

{"formula": "TaRuPb", "functional": "PBE", "state": "optimized geometry", "lattice_angstrom": [[0.000, 3.153, 3.153], [3.153, 0.000, 3.153], [3.153, 3.153, 0.000]], "species": ["Ta", "Ru", "Pb"], "fractional_positions": [[0.000, 0.000, 0.000], [0.250, 0.250, 0.250], [0.500, 0.500, 0.500]], "crystal_system": "cubic", "formation_energy_ev_per_atom": 0.27}

=====

| no. | mass density (g/cm3) |
| --- | --- |
| 1 | 3.4 |
| 2 | 11.2 |
| 3 | 8.2 |
| 4 | 8.0 |
| 5 | 7.5 |
| 6 | 8.7 |
| 7 | 10.1 |
| 8 | 13.0 |